# Na6InAg, optimized geometry, DFT PBE
data_Na6InAg
_symmetry_space_group_name_H-M 'P 4/m m m'
_symmetry_Int_Tables_number 123
_symmetry_space_group_name_Hall '-P 4 2'
_cell_length_a 4.8643
_cell_length_b 4.8643
_cell_length_c 9.7704
_cell_angle_alpha 90.00
_cell_angle_beta 90.00
_cell_angle_gamma 90.00
loop_
_atom_site_label
_atom_site_fract_x
_atom_site_fract_y
_atom_site_fract_z
Na1 0.0000 0.0000 0.0000
Na2 0.0000 0.0000 0.5000
Na3 0.0000 0.5000 0.2367
In1 0.5000 0.5000 0.5000
Ag1 0.5000 0.5000 0.0000
# VASP energy ... -1.70 eV/atom
# E_form ... -0.01 eV/atom

---

# Na2In2Ag, optimized geometry, DFT PBE
data_Na2In2Ag
_symmetry_space_group_name_H-M 'C m c m'
_symmetry_Int_Tables_number 63
_symmetry_space_group_name_Hall '-C 2c 2'
_cell_length_a 9.2865
_cell_length_b 8.0530
_cell_length_c 8.2176
_cell_angle_alpha 90.00
_cell_angle_beta 90.00
_cell_angle_gamma 90.00
loop_
_atom_site_label
_atom_site_fract_x
_atom_site_fract_y
_atom_site_fract_z
Na1 0.1893 0.0000 0.0000
In1 0.0000 0.3232 0.0806
Ag1 0.0000 0.3492 0.7500
# Excess energy over the best structure of this formula in the dataset ... 0.57 eV per formula unit
# VASP energy ... -2.16 eV/atom
# E_form ... 0.03 eV/atom